The following is a GGA-PBE calculation of crystalline CdIr2Au at its relaxed geometry, from Alexandria via LeMat-Bulk.

As for the density of states at the Fermi level: 5.85 states/eV/cell. The calculation puts the total energy at -5.155 eV/atom. As for the volume: 16.49 A^3/atom. As for the magnetization: 0.00 μB/atom.

a = 9.567 Å, b = 9.567 Å, c = 9.567 Å
α = 17.09°, β = 17.09°, γ = 17.09°
Element x y z (fractional)
Ir  0.000  0.000  0.000
Ir  0.500  0.500  0.500
Au  0.250  0.250  0.250
Cd  0.750  0.750  0.750

The following is a GGA-PBE calculation of crystalline CdIr2Au at its relaxed geometry, from Alexandria via LeMat-Bulk.

As for the density of states at the Fermi level: 3.35 states/eV/cell. The calculation puts the total energy at -5.289 eV/atom. As for the volume: 17.26 A^3/atom. As for the magnetization: 0.00 μB/atom.

a = 3.675 Å, b = 2.813 Å, c = 7.242 Å
α = 67.20°, β = 90.00°, γ = 90.00°
Element x y z (fractional)
Ir  0.000  0.962  0.038
Ir  0.500  0.282  0.218
Au  0.000  0.516  0.483
Cd  0.500  0.740  0.760

The following is a GGA-PBE calculation of crystalline CdIrAu3 at its relaxed geometry, from Alexandria via LeMat-Bulk.

As for the density of states at the Fermi level: 6.22 states/eV/cell. The calculation puts the total energy at -3.055 eV/atom. As for the volume: 25.80 A^3/atom. As for the magnetization: 0.00 μB/atom.

a = 5.053 Å, b = 5.053 Å, c = 5.053 Å
α = 90.00°, β = 90.00°, γ = 90.00°
Element x y z (fractional)
Ir  0.000  0.000  0.000
Au  0.000  0.500  0.000
Au  0.000  0.000  0.500
Au  0.500  0.000  0.000
Cd  0.500  0.500  0.500

The following is a GGA-PBE calculation of crystalline Mg5Cd2Ir2Au at its relaxed geometry, from Alexandria via LeMat-Bulk.

As for the density of states at the Fermi level: 6.64 states/eV/cell. The calculation puts the total energy at -3.322 eV/atom. As for the volume: 19.29 A^3/atom. As for the magnetization: 0.00 μB/atom.

a = 3.940 Å, b = 9.896 Å, c = 9.896 Å
α = 90.00°, β = 90.00°, γ = 90.00°
Element x y z (fractional)
Mg  0.500  0.202  0.077
Mg  0.500  0.798  0.923
Mg  0.500  0.077  0.798
Mg  0.500  0.702  0.423
Mg  0.500  0.923  0.202
Mg  0.500  0.298  0.577
Mg  0.500  0.577  0.702
Mg  0.500  0.423  0.298
Mg  0.500  0.500  0.000
Mg  0.500  0.000  0.500
Cd  0.000  0.672  0.172
Cd  0.000  0.328  0.828
Cd  0.000  0.172  0.328
Cd  0.000  0.828  0.672
Ir  0.000  0.122  0.622
Ir  0.000  0.878  0.378
Ir  0.000  0.622  0.878
Ir  0.000  0.378  0.122
Au  0.000  0.000  0.000
Au  0.000  0.500  0.500

The following is a GGA-PBE calculation of crystalline PrCdIrAu at its relaxed geometry, from Alexandria via LeMat-Bulk.

As for the density of states at the Fermi level: 2.97 states/eV/cell. The calculation puts the total energy at -4.769 eV/atom. As for the volume: 21.58 A^3/atom. As for the magnetization: 0.00 μB/atom.

a = 4.961 Å, b = 4.961 Å, c = 4.961 Å
α = 60.00°, β = 60.00°, γ = 60.00°
Element x y z (fractional)
Pr  0.250  0.250  0.250
Ir  0.000  0.000  0.000
Au  0.500  0.500  0.500
Cd  0.750  0.750  0.750

The following is a GGA-PBE calculation of crystalline Sc5Cd2Ir2Au at its relaxed geometry, from Alexandria via LeMat-Bulk.

As for the density of states at the Fermi level: 18.33 states/eV/cell. The calculation puts the total energy at -6.055 eV/atom. As for the volume: 21.11 A^3/atom. As for the magnetization: 0.00 μB/atom.

a = 3.480 Å, b = 11.015 Å, c = 11.015 Å
α = 90.00°, β = 90.00°, γ = 90.00°
Element x y z (fractional)
Sc  0.500  0.199  0.078
Sc  0.500  0.801  0.922
Sc  0.500  0.078  0.801
Sc  0.500  0.699  0.422
Sc  0.500  0.922  0.199
Sc  0.500  0.301  0.578
Sc  0.500  0.578  0.699
Sc  0.500  0.422  0.301
Sc  0.500  0.500  0.000
Sc  0.500  0.000  0.500
Cd  0.000  0.670  0.170
Cd  0.000  0.330  0.830
Cd  0.000  0.170  0.330
Cd  0.000  0.830  0.670
Ir  0.000  0.132  0.632
Ir  0.000  0.868  0.368
Ir  0.000  0.632  0.868
Ir  0.000  0.368  0.132
Au  0.000  0.000  0.000
Au  0.000  0.500  0.500

The following is a GGA-PBE calculation of crystalline CdIrAu2Se at its relaxed geometry, from Alexandria via LeMat-Bulk.

As for the density of states at the Fermi level: 5.24 states/eV/cell. The formation energy from raw total energies comes out at 1.199 eV per atom. As for the volume: 24.00 A^3/atom. As for the magnetization: 0.13 μB/atom.

a = 4.851 Å, b = 4.851 Å, c = 5.099 Å
α = 90.00°, β = 90.00°, γ = 90.00°
Site moments in Bohr magnetons follow the coordinates.
Element x y z (fractional)
Ir  0.500  0.500  0.500  0.69
Au  0.000  0.500  0.000  0.00
Au  0.500  0.000  0.000  0.00
Se  0.000  0.000  0.000  -0.01
Cd  0.000  0.000  0.500  -0.02

The following is a GGA-PBE calculation of crystalline SmCdIrAu at its relaxed geometry, from Alexandria via LeMat-Bulk.

As for the density of states at the Fermi level: 2.44 states/eV/cell. The calculation puts the total energy at -4.818 eV/atom. As for the volume: 20.75 A^3/atom. As for the magnetization: 0.00 μB/atom.

a = 4.896 Å, b = 4.896 Å, c = 4.896 Å
α = 60.00°, β = 60.00°, γ = 60.00°
Element x y z (fractional)
Ir  0.500  0.500  0.500
Au  0.000  0.000  0.000
Sm  0.250  0.250  0.250
Cd  0.750  0.750  0.750

- Which of these has the highest density of states at the Fermi level?
  Sc5Cd2Ir2Au

- What is the magnetization in the fifth record?
  0.00 μB/atom

- Which formula does entry 6 have?
  Sc5Cd2Ir2Au